i) First-principles (PBE) data for a relaxed structure of NaB2Ru, as listed in Alexandria via LeMat-Bulk.

abc: 3.911 3.911 3.911
angles: 60.00 60.00 60.00
Fractional coordinates of all 4 atoms:
1 B 0.250 0.250 0.250
2 B 0.750 0.750 0.750
3 Ru 0.500 0.500 0.500
4 Na 0.000 0.000 0.000

Calculated values
M_tot   0.000 μB/cell
Symmetry   Fm-3m (225)



ii) First-principles (PBE) data for a relaxed structure of NaB2Ru, as listed in Alexandria via LeMat-Bulk.

abc: 4.792 4.792 7.088
angles: 70.24 70.24 90.00
Fractional coordinates of all 8 atoms:
1 Ru 0.750 0.250 0.500
2 B 0.875 0.125 0.750
3 Na 0.250 0.750 0.500
4 Na 0.500 0.500 0.000
5 B 0.375 0.125 0.750
6 B 0.875 0.625 0.250
7 Ru 0.000 0.000 0.000
8 B 0.875 0.125 0.250

Calculated values
M_tot   0.000 μB/cell
Symmetry   I4_1/amd (141)



Least stable structure: i)



i) First-principles (PBE) data for a relaxed structure of Na2BS, as listed in Alexandria via LeMat-Bulk.

abc: 4.699 4.699 4.699
angles: 60.00 60.00 60.00
Site moments in Bohr magnetons follow the coordinates.
Fractional coordinates of all 4 atoms:
1 S 0.500 0.500 0.500  -0.04
2 Na 0.250 0.250 0.250  0.02
3 B 0.000 0.000 0.000  0.38
4 Na 0.750 0.750 0.750  0.02

Calculated values
M_tot   0.960 μB/cell
Symmetry   Fm-3m (225)



ii) First-principles (PBE) data for a relaxed structure of Na2BS, as listed in Alexandria via LeMat-Bulk.

abc: 4.403 4.403 9.312
angles: 76.32 76.32 90.00
Site moments in Bohr magnetons follow the coordinates.
Fractional coordinates of all 8 atoms:
1 S 0.750 0.250 0.500  0.04
2 S 0.000 0.000 0.000  0.04
3 B 0.250 0.750 0.500  0.31
4 Na 0.124 0.625 0.250  0.03
5 Na 0.875 0.876 0.750  0.03
6 Na 0.626 0.125 0.250  0.03
7 B 0.500 0.500 0.000  0.31
8 Na 0.375 0.374 0.750  0.03

Calculated values
M_tot   2.000 μB/cell
Symmetry   I-42d (122)



Least stable structure: ii)



i) First-principles (PBE) data for a relaxed structure of NaBS3, as listed in Alexandria via LeMat-Bulk.

abc: 6.624 7.977 8.883
angles: 90.00 90.00 90.00
Fractional coordinates of all 20 atoms:
1 B 0.945 0.978 0.750
2 S 0.742 0.113 0.750
3 Na 0.000 0.500 0.500
4 S 0.380 0.362 0.128
5 B 0.555 0.478 0.250
6 S 0.242 0.387 0.750
7 Na 0.500 0.000 0.500
8 S 0.380 0.362 0.372
9 B 0.445 0.522 0.750
10 S 0.120 0.862 0.628
11 S 0.880 0.138 0.372
12 S 0.758 0.613 0.250
13 B 0.055 0.022 0.250
14 S 0.620 0.638 0.872
15 Na 0.500 0.000 0.000
16 S 0.620 0.638 0.628
17 Na 0.000 0.500 0.000
18 S 0.880 0.138 0.128
19 S 0.258 0.887 0.250
20 S 0.120 0.862 0.872

Calculated values
M_tot   0.000 μB/cell
Symmetry   Pnma (62)



ii) First-principles (PBE) data for a relaxed structure of NaBS3, as listed in Alexandria via LeMat-Bulk.

abc: 4.324 4.324 4.324
angles: 90.00 90.00 90.00
Fractional coordinates of all 5 atoms:
1 S 0.500 0.000 0.000
2 S 0.000 0.000 0.500
3 B 0.000 0.000 0.000
4 S 0.000 0.500 0.000
5 Na 0.500 0.500 0.500

Calculated values
M_tot   0.000 μB/cell
Symmetry   Pm-3m (221)



iii) First-principles (PBE) data for a relaxed structure of NaBS3, as listed in Alexandria via LeMat-Bulk.

abc: 5.321 9.260 9.499
angles: 123.42 90.00 106.70
Fractional coordinates of all 10 atoms:
1 S 0.474 0.948 0.669
2 S 0.333 0.666 0.478
3 Na 0.213 0.425 0.592
4 S 0.401 0.802 0.917
5 B 0.487 0.974 0.868
6 B 0.513 0.026 0.132
7 S 0.599 0.198 0.083
8 S 0.526 0.052 0.331
9 S 0.667 0.334 0.522
10 Na 0.787 0.575 0.408

Calculated values
M_tot   0.000 μB/cell
Symmetry   C2/m (12)



iv) First-principles (PBE) data for a relaxed structure of NaBS3, as listed in Alexandria via LeMat-Bulk.

abc: 5.088 5.088 5.088
angles: 90.00 90.00 90.00
Site moments in Bohr magnetons follow the coordinates.
Fractional coordinates of all 5 atoms:
1 S 0.000 0.500 0.000  0.96
2 S 0.000 0.000 0.500  0.81
3 S 0.500 0.000 0.000  0.83
4 B 0.500 0.500 0.500  -0.06
5 Na 0.000 0.000 0.000  0.01

Calculated values
M_tot   4.000 μB/cell
Symmetry   Pm-3m (221)



Least stable structure: iv)



i) First-principles (PBE) data for a relaxed structure of Na3BSb, as listed in Alexandria via LeMat-Bulk.

abc: 5.088 5.088 5.088
angles: 90.00 90.00 90.00
Site moments in Bohr magnetons follow the coordinates.
Fractional coordinates of all 5 atoms:
1 Sb 0.500 0.500 0.500  -0.25
2 Na 0.500 0.000 0.000  0.03
3 Na 0.000 0.500 0.000  0.03
4 B 0.000 0.000 0.000  0.58
5 Na 0.000 0.000 0.500  0.04

Calculated values
M_tot   1.000 μB/cell
Symmetry   Pm-3m (221)



ii) First-principles (PBE) data for a relaxed structure of Na3BSb, as listed in Alexandria via LeMat-Bulk.

abc: 5.850 5.850 5.850
angles: 90.00 90.00 90.00
Site moments in Bohr magnetons follow the coordinates.
Fractional coordinates of all 5 atoms:
1 Sb 0.000 0.000 0.000  -0.07
2 Na 0.000 0.000 0.500  0.00
3 Na 0.500 0.000 0.000  0.00
4 Na 0.000 0.500 0.000  0.00
5 B 0.500 0.500 0.500  0.39

Calculated values
M_tot   1.000 μB/cell
Symmetry   Pm-3m (221)



Least stable structure: ii)



i) First-principles (PBE) data for a relaxed structure of Na2BSb, as listed in Alexandria via LeMat-Bulk.

abc: 3.944 3.944 10.739
angles: 79.42 79.42 90.00
Fractional coordinates of all 8 atoms:
1 Na 0.600 0.125 0.250
2 Na 0.875 0.850 0.750
3 Na 0.150 0.625 0.250
4 Sb 0.000 0.000 0.000
5 Na 0.375 0.400 0.750
6 Sb 0.750 0.250 0.500
7 B 0.500 0.500 0.000
8 B 0.250 0.750 0.500

Calculated values
M_tot   0.000 μB/cell
Symmetry   I-42d (122)



ii) First-principles (PBE) data for a relaxed structure of Na2BSb, as listed in Alexandria via LeMat-Bulk.

abc: 4.988 4.988 4.988
angles: 60.00 60.00 60.00
Fractional coordinates of all 4 atoms:
1 B 0.000 0.000 0.000
2 Na 0.750 0.750 0.750
3 Na 0.250 0.250 0.250
4 Sb 0.500 0.500 0.500

Calculated values
M_tot   0.000 μB/cell
Symmetry   Fm-3m (225)



Least stable structure: i)



i) First-principles (PBE) data for a relaxed structure of Na2Sc2B, as listed in Alexandria via LeMat-Bulk.

abc: 3.406 3.406 9.347
angles: 79.50 79.50 90.00
Site moments in Bohr magnetons follow the coordinates.
Fractional coordinates of all 5 atoms:
1 Na 0.250 0.750 0.500  0.00
2 Sc 0.426 0.426 0.148  0.17
3 Sc 0.574 0.574 0.852  0.17
4 B 0.000 0.000 0.000  -0.01
5 Na 0.750 0.250 0.500  0.00

Calculated values
M_tot   0.444 μB/cell
Symmetry   I4/mmm (139)



ii) First-principles (PBE) data for a relaxed structure of Na2Sc2B, as listed in Alexandria via LeMat-Bulk.

abc: 6.486 6.486 6.070
angles: 90.00 90.00 90.00
Site moments in Bohr magnetons follow the coordinates.
Fractional coordinates of all 10 atoms:
1 Sc 0.820 0.680 0.000  0.23
2 Sc 0.180 0.320 0.000  0.23
3 Na 0.175 0.675 0.500  0.00
4 Na 0.325 0.175 0.500  0.00
5 B 0.000 0.000 0.000  0.04
6 Sc 0.320 0.820 0.000  0.23
7 Sc 0.680 0.180 0.000  0.23
8 B 0.500 0.500 0.000  0.04
9 Na 0.825 0.325 0.500  0.00
10 Na 0.675 0.825 0.500  0.00

Calculated values
M_tot   1.860 μB/cell
Symmetry   P4/mbm (127)



Least stable structure: i)